# Li2CdAu2, optimized geometry, DFT PBE
data_Li2CdAu2
_chemical_formula_sum 'Li4 Cd2 Au4'
_symmetry_space_group_name_H-M 'I 4/m m m'
_symmetry_Int_Tables_number 139
_symmetry_space_group_name_Hall '-I 4 2'
_cell_length_a 3.9236
_cell_length_b 3.9236
_cell_length_c 12.4216
_cell_angle_alpha 90.00
_cell_angle_beta 90.00
_cell_angle_gamma 90.00
loop_
_atom_site_label
_atom_site_fract_x
_atom_site_fract_y
_atom_site_fract_z
Li1 0.0000 0.5000 0.2500
Cd1 0.0000 0.0000 0.0000
Au1 0.0000 0.0000 0.3894
# Energy above the lowest structure with this stoichiometry   146 meV/atom
# Energy of formation   -0.2885 eV per atom


# LiCdAu2, optimized geometry, DFT PBE
data_LiCdAu2
_chemical_formula_sum 'Li1 Cd1 Au2'
_symmetry_space_group_name_H-M 'P 1 2/m 1'
_symmetry_Int_Tables_number 10
_symmetry_space_group_name_Hall '-P 2y'
_cell_length_a 3.1178
_cell_length_b 3.6502
_cell_length_c 6.2073
_cell_angle_alpha 90.00
_cell_angle_beta 90.65
_cell_angle_gamma 90.00
loop_
_atom_site_label
_atom_site_fract_x
_atom_site_fract_y
_atom_site_fract_z
Li1 0.0000 0.0000 0.0000
Cd1 0.0000 0.0000 0.5000
Au1 0.4993 0.5000 0.2284
# Energy of formation   -0.3666 eV per atom


# Li5Cd2Au5, optimized geometry, DFT PBE
data_Li5Cd2Au5
_chemical_formula_sum 'Li10 Cd4 Au10'
_symmetry_space_group_name_H-M 'C 1 2/m 1'
_symmetry_Int_Tables_number 12
_symmetry_space_group_name_Hall '-C 2y'
_cell_length_a 12.3771
_cell_length_b 3.9890
_cell_length_c 9.1881
_cell_angle_alpha 90.00
_cell_angle_beta 116.15
_cell_angle_gamma 90.00
loop_
_atom_site_label
_atom_site_fract_x
_atom_site_fract_y
_atom_site_fract_z
Li1 0.0000 0.0000 0.0000
Li2 0.1030 0.0000 0.7593
Li3 0.1652 0.0000 0.5044
Cd1 0.0805 0.5000 0.2521
Au1 0.0000 0.5000 0.5000
Au2 0.1608 0.5000 0.9925
Au3 0.2487 0.5000 0.7352
# Energy above the lowest structure with this stoichiometry   13 meV/atom
# Energy of formation   -0.4316 eV per atom


# LiCdAu2, optimized geometry, DFT PBE
data_LiCdAu2
_chemical_formula_sum 'Li1 Cd1 Au2'
_symmetry_space_group_name_H-M 'P m m 2'
_symmetry_Int_Tables_number 25
_symmetry_space_group_name_Hall 'P 2 -2'
_cell_length_a 3.0243
_cell_length_b 4.7738
_cell_length_c 4.9603
_cell_angle_alpha 90.00
_cell_angle_beta 90.00
_cell_angle_gamma 90.00
loop_
_atom_site_label
_atom_site_fract_x
_atom_site_fract_y
_atom_site_fract_z
Li1 0.0000 0.0000 0.0000
Cd1 0.0000 0.5000 0.3817
Au1 0.5000 0.0000 0.5177
Au2 0.5000 0.5000 0.8906
# Energy of formation   -0.3624 eV per atom


# Li2CdAu, optimized geometry, DFT PBE
data_Li2CdAu
_chemical_formula_sum 'Li8 Cd4 Au4'
_symmetry_space_group_name_H-M 'I -4 2 d'
_symmetry_Int_Tables_number 122
_symmetry_space_group_name_Hall 'I -4 2bw'
_cell_length_a 4.0355
_cell_length_b 4.0355
_cell_length_c 19.0246
_cell_angle_alpha 90.00
_cell_angle_beta 90.00
_cell_angle_gamma 90.00
loop_
_atom_site_label
_atom_site_fract_x
_atom_site_fract_y
_atom_site_fract_z
Li1 0.2264 0.2500 0.1250
Cd1 0.0000 0.0000 0.5000
Au1 0.0000 0.0000 0.0000
# Energy above the lowest structure with this stoichiometry   233 meV/atom
# Energy of formation   -0.1898 eV per atom


# Li2Cd2Au5, optimized geometry, DFT PBE
data_Li2Cd2Au5
_chemical_formula_sum 'Li4 Cd4 Au10'
_symmetry_space_group_name_H-M 'C 1 2/m 1'
_symmetry_Int_Tables_number 12
_symmetry_space_group_name_Hall '-C 2y'
_cell_length_a 14.6567
_cell_length_b 2.8573
_cell_length_c 9.7794
_cell_angle_alpha 90.00
_cell_angle_beta 126.04
_cell_angle_gamma 90.00
loop_
_atom_site_label
_atom_site_fract_x
_atom_site_fract_y
_atom_site_fract_z
Li1 0.0714 0.0000 0.2846
Cd1 0.1508 0.5000 0.8212
Au1 0.0000 0.0000 0.5000
Au2 0.1109 0.0000 0.0446
Au3 0.2086 0.5000 0.5833
# Energy above the lowest structure with this stoichiometry   33 meV/atom
# Energy of formation   -0.2514 eV per atom


# Li4Cd2Au3, optimized geometry, DFT PBE
data_Li4Cd2Au3
_chemical_formula_sum 'Li4 Cd2 Au3'
_symmetry_space_group_name_H-M 'P -1'
_symmetry_Int_Tables_number 2
_symmetry_space_group_name_Hall '-P 1'
_cell_length_a 4.1715
_cell_length_b 4.9135
_cell_length_c 8.5174
_cell_angle_alpha 76.65
_cell_angle_beta 89.77
_cell_angle_gamma 65.08
loop_
_atom_site_label
_atom_site_fract_x
_atom_site_fract_y
_atom_site_fract_z
Li1 0.0144 0.4708 0.3474
Li2 0.3390 0.8221 0.1114
Cd1 0.3260 0.8465 0.7793
Au1 0.0000 0.5000 0.0000
Au2 0.3385 0.8219 0.4339
# Energy above the lowest structure with this stoichiometry   0 meV/atom
# Energy of formation   -0.4262 eV per atom


# Li4Cd2Au3, optimized geometry, DFT PBE
data_Li4Cd2Au3
_chemical_formula_sum 'Li8 Cd4 Au6'
_symmetry_space_group_name_H-M 'C 1 2/m 1'
_symmetry_Int_Tables_number 12
_symmetry_space_group_name_Hall '-C 2y'
_cell_length_a 12.7147
_cell_length_b 4.0104
_cell_length_c 6.4568
_cell_angle_alpha 90.00
_cell_angle_beta 110.15
_cell_angle_gamma 90.00
loop_
_atom_site_label
_atom_site_fract_x
_atom_site_fract_y
_atom_site_fract_z
Li1 0.0447 0.0000 0.3340
Li2 0.2226 0.5000 0.3422
Cd1 0.1635 0.0000 0.0100
Au1 0.0000 0.5000 0.0000
Au2 0.1160 0.5000 0.6455
# Energy above the lowest structure with this stoichiometry   18 meV/atom
# Energy of formation   -0.4086 eV per atom


# LiCd3Au4, optimized geometry, DFT PBE
data_LiCd3Au4
_chemical_formula_sum 'Li2 Cd6 Au8'
_symmetry_space_group_name_H-M 'C 1 2/m 1'
_symmetry_Int_Tables_number 12
_symmetry_space_group_name_Hall '-C 2y'
_cell_length_a 16.6262
_cell_length_b 4.2853
_cell_length_c 4.3218
_cell_angle_alpha 90.00
_cell_angle_beta 104.95
_cell_angle_gamma 90.00
loop_
_atom_site_label
_atom_site_fract_x
_atom_site_fract_y
_atom_site_fract_z
Li1 0.0000 0.0000 0.0000
Cd1 0.0000 0.5000 0.5000
Cd2 0.2497 0.0000 0.2495
Au1 0.1205 0.0000 0.6205
Au2 0.1207 0.5000 0.1201
# Energy of formation   -0.2714 eV per atom


# Li2Cd2Au, optimized geometry, DFT PBE
data_Li2Cd2Au
_chemical_formula_sum 'Li4 Cd4 Au2'
_symmetry_space_group_name_H-M 'I 4/m m m'
_symmetry_Int_Tables_number 139
_symmetry_space_group_name_Hall '-I 4 2'
_cell_length_a 3.6696
_cell_length_b 3.6696
_cell_length_c 14.6242
_cell_angle_alpha 90.00
_cell_angle_beta 90.00
_cell_angle_gamma 90.00
loop_
_atom_site_label
_atom_site_fract_x
_atom_site_fract_y
_atom_site_fract_z
Li1 0.0000 0.5000 0.2500
Cd1 0.0000 0.0000 0.1033
Au1 0.0000 0.0000 0.5000
# Energy above the lowest structure with this stoichiometry   251 meV/atom
# Energy of formation   -0.0986 eV per atom


# LiCd2Au, optimized geometry, DFT PBE
data_LiCd2Au
_chemical_formula_sum 'Li4 Cd8 Au4'
_symmetry_space_group_name_H-M 'F m -3 m'
_symmetry_Int_Tables_number 225
_symmetry_space_group_name_Hall '-F 4 2 3'
_cell_length_a 6.6798
_cell_length_b 6.6798
_cell_length_c 6.6798
_cell_angle_alpha 90.00
_cell_angle_beta 90.00
_cell_angle_gamma 90.00
loop_
_atom_site_label
_atom_site_fract_x
_atom_site_fract_y
_atom_site_fract_z
Li1 0.0000 0.0000 0.0000
Cd1 0.2500 0.2500 0.2500
Au1 0.0000 0.0000 0.5000
# Energy above the lowest structure with this stoichiometry   0 meV/atom
# Energy of formation   -0.3379 eV per atom


# Li4CdAu4, optimized geometry, DFT PBE
data_Li4CdAu4
_chemical_formula_sum 'Li8 Cd2 Au8'
_symmetry_space_group_name_H-M 'I 4/m m m'
_symmetry_Int_Tables_number 139
_symmetry_space_group_name_Hall '-I 4 2'
_cell_length_a 8.5753
_cell_length_b 8.5753
_cell_length_c 4.1060
_cell_angle_alpha 90.00
_cell_angle_beta 90.00
_cell_angle_gamma 90.00
loop_
_atom_site_label
_atom_site_fract_x
_atom_site_fract_y
_atom_site_fract_z
Li1 0.1739 0.1739 0.0000
Cd1 0.0000 0.0000 0.5000
Au1 0.0000 0.3268 0.5000
# Energy of formation   -0.4265 eV per atom